No. 1
# AcAsRh | the Alexandria database | PBE | optimized geometry
data_AcAsRh
_chemical_formula_sum 'Ac1 As1 Rh1'
_space_group_name_H-M_alt 'P 1'
_space_group_IT_number 1
_cell_length_a 6.048
_cell_length_b 6.048
_cell_length_c 6.048
_cell_angle_alpha 146.24
_cell_angle_beta 146.24
_cell_angle_gamma 48.49
loop_
_space_group_symop_operation_xyz
'x,y,z'
loop_
_atom_site_label
_atom_site_fract_x
_atom_site_fract_y
_atom_site_fract_z
Ac1 0.000 0.000 0.000
As1 0.287 0.287 0.000
Rh1 0.704 0.704 0.000
# Formation energy in meV per atom: -503
# Density of states at the Fermi level in states/eV per atom: 1.218
# Density in g cm⁻³: 9.9
# Final energy in eV/atom: -5.872
# Size of the total moment in μB/f.u.: 0.00
# Excess energy over the best structure of this formula in the dataset in meV/atom: 566

***

No. 2
# Ac12As3Rh5 | the Alexandria database | PBE | optimized geometry
data_Ac12As3Rh5
_chemical_formula_sum 'Ac48 As12 Rh20'
_space_group_name_H-M_alt 'P 1'
_space_group_IT_number 1
_cell_length_a 15.581
_cell_length_b 15.581
_cell_length_c 15.581
_cell_angle_alpha 109.47
_cell_angle_beta 109.47
_cell_angle_gamma 109.47
loop_
_space_group_symop_operation_xyz
'x,y,z'
loop_
_atom_site_label
_atom_site_fract_x
_atom_site_fract_y
_atom_site_fract_z
Ac1 0.036 0.211 0.127
Ac2 0.036 0.325 0.909
Ac3 0.085 0.711 0.675
Ac4 0.085 0.873 0.409
Ac5 0.091 0.627 0.415
Ac6 0.091 0.964 0.675
Ac7 0.127 0.036 0.211
Ac8 0.127 0.591 0.915
Ac9 0.175 0.211 0.585
Ac10 0.175 0.464 0.591
Ac11 0.211 0.127 0.036
Ac12 0.211 0.585 0.175
Ac13 0.289 0.325 0.915
Ac14 0.289 0.464 0.373
Ac15 0.325 0.909 0.036
Ac16 0.325 0.915 0.289
Ac17 0.373 0.289 0.464
Ac18 0.373 0.585 0.909
Ac19 0.409 0.085 0.873
Ac20 0.409 0.825 0.536
Ac21 0.415 0.091 0.627
Ac22 0.415 0.825 0.789
Ac23 0.464 0.373 0.289
Ac24 0.464 0.591 0.175
Ac25 0.536 0.409 0.825
Ac26 0.536 0.627 0.711
Ac27 0.585 0.175 0.211
Ac28 0.585 0.909 0.373
Ac29 0.591 0.175 0.464
Ac30 0.591 0.915 0.127
Ac31 0.627 0.415 0.091
Ac32 0.627 0.711 0.536
Ac33 0.675 0.085 0.711
Ac34 0.675 0.091 0.964
Ac35 0.711 0.536 0.627
Ac36 0.711 0.675 0.085
Ac37 0.789 0.415 0.825
Ac38 0.789 0.873 0.964
Ac39 0.825 0.536 0.409
Ac40 0.825 0.789 0.415
Ac41 0.873 0.409 0.085
Ac42 0.873 0.964 0.789
Ac43 0.909 0.036 0.325
Ac44 0.909 0.373 0.585
Ac45 0.915 0.127 0.591
Ac46 0.915 0.289 0.325
Ac47 0.964 0.675 0.091
Ac48 0.964 0.789 0.873
As1 0.125 0.250 0.375
As2 0.125 0.375 0.750
As3 0.250 0.375 0.125
As4 0.250 0.875 0.625
As5 0.375 0.125 0.250
As6 0.375 0.750 0.125
As7 0.625 0.250 0.875
As8 0.625 0.875 0.750
As9 0.750 0.125 0.375
As10 0.750 0.625 0.875
As11 0.875 0.625 0.250
As12 0.875 0.750 0.625
Rh1 0.000 0.000 0.000
Rh2 0.000 0.000 0.500
Rh3 0.000 0.500 0.000
Rh4 0.000 0.500 0.500
Rh5 0.125 0.750 0.875
Rh6 0.125 0.875 0.250
Rh7 0.250 0.125 0.875
Rh8 0.250 0.625 0.375
Rh9 0.375 0.250 0.625
Rh10 0.375 0.625 0.750
Rh11 0.500 0.000 0.000
Rh12 0.500 0.000 0.500
Rh13 0.500 0.500 0.000
Rh14 0.500 0.500 0.500
Rh15 0.625 0.375 0.250
Rh16 0.625 0.750 0.375
Rh17 0.750 0.375 0.625
Rh18 0.750 0.875 0.125
Rh19 0.875 0.125 0.750
Rh20 0.875 0.250 0.125
# Formation energy in meV per atom: -544
# Density of states at the Fermi level in states/eV per atom: 0.787
# Density in g cm⁻³: 7.9
# Final energy in eV/atom: -5.544
# Size of the total moment in μB/f.u.: 0.00

***

No. 3
# AcAs3Rh4 | the Alexandria database | PBE | optimized geometry
data_AcAs3Rh4
_chemical_formula_sum 'Ac1 As3 Rh4'
_space_group_name_H-M_alt 'P 1'
_space_group_IT_number 1
_cell_length_a 4.101
_cell_length_b 4.101
_cell_length_c 8.913
_cell_angle_alpha 90.00
_cell_angle_beta 90.00
_cell_angle_gamma 90.00
loop_
_space_group_symop_operation_xyz
'x,y,z'
loop_
_atom_site_label
_atom_site_fract_x
_atom_site_fract_y
_atom_site_fract_z
Ac1 0.000 0.000 0.000
As1 0.000 0.000 0.500
As2 0.500 0.500 0.184
As3 0.500 0.500 0.816
Rh1 0.000 0.500 0.336
Rh2 0.000 0.500 0.664
Rh3 0.500 0.000 0.336
Rh4 0.500 0.000 0.664
# Formation energy in meV per atom: -723
# Density of states at the Fermi level in states/eV per atom: 0.464
# Density in g cm⁻³: 9.6
# Final energy in eV/atom: -6.656
# Size of the total moment in μB/f.u.: 0.00

***

No. 4
# AcAsRh | the Alexandria database | PBE | optimized geometry
data_AcAsRh
_chemical_formula_sum 'Ac2 As2 Rh2'
_space_group_name_H-M_alt 'P 1'
_space_group_IT_number 1
_cell_length_a 5.962
_cell_length_b 5.962
_cell_length_c 7.436
_cell_angle_alpha 125.00
_cell_angle_beta 125.00
_cell_angle_gamma 43.03
loop_
_space_group_symop_operation_xyz
'x,y,z'
loop_
_atom_site_label
_atom_site_fract_x
_atom_site_fract_y
_atom_site_fract_z
Ac1 0.048 0.048 0.302
Ac2 0.952 0.952 0.698
As1 0.303 0.303 0.224
As2 0.697 0.697 0.776
Rh1 0.330 0.330 0.890
Rh2 0.670 0.670 0.110
# Formation energy in meV per atom: -870
# Density of states at the Fermi level in states/eV per atom: 0.877
# Density in g cm⁻³: 9.5
# Final energy in eV/atom: -6.240
# Size of the total moment in μB/f.u.: 0.00
# Excess energy over the best structure of this formula in the dataset in meV/atom: 199

***

No. 5
# Ac2As2Rh | the Alexandria database | PBE | optimized geometry
data_Ac2As2Rh
_chemical_formula_sum 'Ac4 As4 Rh2'
_space_group_name_H-M_alt 'P 1'
_space_group_IT_number 1
_cell_length_a 6.175
_cell_length_b 6.175
_cell_length_c 11.437
_cell_angle_alpha 111.82
_cell_angle_beta 111.82
_cell_angle_gamma 41.67
loop_
_space_group_symop_operation_xyz
'x,y,z'
loop_
_atom_site_label
_atom_site_fract_x
_atom_site_fract_y
_atom_site_fract_z
Ac1 0.078 0.078 0.387
Ac2 0.306 0.306 0.862
Ac3 0.694 0.694 0.138
Ac4 0.922 0.922 0.613
As1 0.057 0.057 0.917
As2 0.341 0.341 0.360
As3 0.659 0.659 0.640
As4 0.943 0.943 0.083
Rh1 0.440 0.440 0.187
Rh2 0.560 0.560 0.813
# Formation energy in meV per atom: -1136
# Density of states at the Fermi level in states/eV per atom: 0.188
# Density in g cm⁻³: 8.8
# Final energy in eV/atom: -6.109
# Size of the total moment in μB/f.u.: 0.00

***

No. 6
# AcAs2Rh4 | the Alexandria database | PBE | optimized geometry
data_AcAs2Rh4
_chemical_formula_sum 'Ac4 As8 Rh16'
_space_group_name_H-M_alt 'P 1'
_space_group_IT_number 1
_cell_length_a 17.564
_cell_length_b 4.091
_cell_length_c 7.091
_cell_angle_alpha 90.00
_cell_angle_beta 90.00
_cell_angle_gamma 90.00
loop_
_space_group_symop_operation_xyz
'x,y,z'
loop_
_atom_site_label
_atom_site_fract_x
_atom_site_fract_y
_atom_site_fract_z
Ac1 0.109 0.250 0.042
Ac2 0.391 0.750 0.542
Ac3 0.609 0.250 0.458
Ac4 0.891 0.750 0.958
As1 0.051 0.750 0.689
As2 0.244 0.250 0.519
As3 0.256 0.750 0.019
As4 0.449 0.250 0.189
As5 0.551 0.750 0.811
As6 0.744 0.250 0.981
As7 0.756 0.750 0.481
As8 0.949 0.250 0.311
Rh1 0.033 0.750 0.328
Rh2 0.110 0.250 0.512
Rh3 0.193 0.750 0.716
Rh4 0.195 0.750 0.323
Rh5 0.305 0.250 0.823
Rh6 0.307 0.250 0.216
Rh7 0.390 0.750 0.012
Rh8 0.467 0.250 0.828
Rh9 0.533 0.750 0.172
Rh10 0.610 0.250 0.988
Rh11 0.693 0.750 0.784
Rh12 0.695 0.750 0.177
Rh13 0.805 0.250 0.677
Rh14 0.807 0.250 0.284
Rh15 0.890 0.750 0.488
Rh16 0.967 0.250 0.672
# Formation energy in meV per atom: -711
# Density of states at the Fermi level in states/eV per atom: 0.659
# Density in g cm⁻³: 10.3
# Final energy in eV/atom: -6.827
# Size of the total moment in μB/f.u.: 0.00

***

No. 7
# AcAs2Rh3 | the Alexandria database | PBE | optimized geometry
data_AcAs2Rh3
_chemical_formula_sum 'Ac3 As6 Rh9'
_space_group_name_H-M_alt 'P 1'
_space_group_IT_number 1
_cell_length_a 8.650
_cell_length_b 8.650
_cell_length_c 10.133
_cell_angle_alpha 106.92
_cell_angle_beta 106.92
_cell_angle_gamma 27.48
loop_
_space_group_symop_operation_xyz
'x,y,z'
loop_
_atom_site_label
_atom_site_fract_x
_atom_site_fract_y
_atom_site_fract_z
Ac1 0.000 0.000 0.000
Ac2 0.156 0.156 0.699
Ac3 0.844 0.844 0.301
As1 0.197 0.197 0.128
As2 0.362 0.362 0.550
As3 0.466 0.466 0.227
As4 0.534 0.534 0.773
As5 0.638 0.638 0.450
As6 0.803 0.803 0.872
Rh1 0.048 0.048 0.334
Rh2 0.221 0.221 0.395
Rh3 0.322 0.322 0.042
Rh4 0.370 0.370 0.792
Rh5 0.500 0.500 0.500
Rh6 0.630 0.630 0.208
Rh7 0.678 0.678 0.958
Rh8 0.779 0.779 0.605
Rh9 0.952 0.952 0.666
# Formation energy in meV per atom: -829
# Density of states at the Fermi level in states/eV per atom: 0.508
# Density in g cm⁻³: 10.2
# Final energy in eV/atom: -6.739
# Size of the total moment in μB/f.u.: 0.00
# Excess energy over the best structure of this formula in the dataset in meV/atom: 0

***

No. 8
# Ac3As2Rh7 | the Alexandria database | PBE | optimized geometry
data_Ac3As2Rh7
_chemical_formula_sum 'Ac3 As2 Rh7'
_space_group_name_H-M_alt 'P 1'
_space_group_IT_number 1
_cell_length_a 4.283
_cell_length_b 4.204
_cell_length_c 14.211
_cell_angle_alpha 90.00
_cell_angle_beta 97.81
_cell_angle_gamma 90.00
loop_
_space_group_symop_operation_xyz
'x,y,z'
loop_
_atom_site_label
_atom_site_fract_x
_atom_site_fract_y
_atom_site_fract_z
Ac1 0.000 0.000 0.000
Ac2 0.203 0.000 0.397
Ac3 0.797 0.000 0.603
As1 0.399 0.500 0.831
As2 0.601 0.500 0.169
Rh1 0.136 0.500 0.247
Rh2 0.290 0.500 0.586
Rh3 0.362 0.000 0.750
Rh4 0.500 0.500 0.000
Rh5 0.638 0.000 0.250
Rh6 0.710 0.500 0.414
Rh7 0.864 0.500 0.753
# Formation energy in meV per atom: -556
# Density of states at the Fermi level in states/eV per atom: 0.324
# Density in g cm⁻³: 10.2
# Final energy in eV/atom: -6.646
# Size of the total moment in μB/f.u.: 0.00

***

No. 9
# AcAs2RuRh | the Alexandria database | PBE | optimized geometry
data_AcAs2RuRh
_chemical_formula_sum 'Ac1 As2 Ru1 Rh1'
_space_group_name_H-M_alt 'P 1'
_space_group_IT_number 1
_cell_length_a 6.646
_cell_length_b 6.646
_cell_length_c 6.646
_cell_angle_alpha 143.68
_cell_angle_beta 143.68
_cell_angle_gamma 52.31
loop_
_space_group_symop_operation_xyz
'x,y,z'
loop_
_atom_site_label
_atom_site_fract_x
_atom_site_fract_y
_atom_site_fract_z
Ac1 0.000 0.000 0.000
As1 0.362 0.362 0.000
As2 0.638 0.638 0.000
Ru1 0.250 0.750 0.500
Rh1 0.750 0.250 0.500
# Formation energy in meV per atom: -824
# Density of states at the Fermi level in states/eV per atom: 0.443
# Density in g cm⁻³: 9.4
# Final energy in eV/atom: -6.831
# Size of the total moment in μB/f.u.: 0.00